Material: Sm3SiS6Cl
Method: DFT, PBEsol
State: optimized geometry

Cell and atoms, written as CIF:
```
data_Sm3SiS6Cl
_space_group_name_H-M_alt 'P 1'
_space_group_IT_number 1
_cell_length_a 5.6187
_cell_length_b 9.7684
_cell_length_c 9.8609
_cell_angle_alpha 118.49
_cell_angle_beta 90.00
_cell_angle_gamma 90.00
loop_
_space_group_symop_operation_xyz
'x,y,z'
loop_
_atom_site_label
_atom_site_type_symbol
_atom_site_fract_x
_atom_site_fract_y
_atom_site_fract_z
S1 S 0.0417 0.3347 0.6700
S2 S 0.2715 0.2578 0.1650
Sm1 Sm 0.2516 0.2259 0.8757
S3 S 0.5417 0.6653 0.3300
S4 S 0.5222 0.1130 0.5958
S5 S 0.7693 0.0922 0.2645
S6 S 0.0163 0.5794 0.4772
S7 S 0.5193 0.4772 0.8964
Si1 Si 0.1681 0.6605 0.3295
S8 S 0.5163 0.4206 0.5228
S9 S 0.0193 0.5228 0.1036
Sm2 Sm 0.7509 0.3533 0.2338
S10 S 0.7715 0.7422 0.8350
S11 S 0.0222 0.8870 0.4042
Sm3 Sm 0.2509 0.6467 0.7662
Cl1 Cl 0.7731 0.1557 0.9125
Sm4 Sm 0.7521 0.8631 0.6366
S12 S 0.2693 0.9078 0.7355
Sm5 Sm 0.2521 0.1369 0.3634
Sm6 Sm 0.7516 0.7741 0.1243
Cl2 Cl 0.2731 0.8443 0.0875
Si2 Si 0.6681 0.3395 0.6705
```

- total magnetization (μB/atom) = 0.000
- raw total energy (Ry per atom) = -0.4591
- crystal system = monoclinic